No. 1
## Nb4InSiC2 (PBE-GGA)

Data for a geometry-optimized Nb4InSiC2 structure.

a = 3.2088 Å, b = 3.2088 Å, c = 13.5108 Å
α = 90.00°, β = 90.00°, γ = 120.00°
Atoms (fractional coordinates):
In1 0.0000 0.0000 0.0000
Nb1 0.6667 0.3333 0.8215
C1 0.3333 0.6667 0.7340
Si1 0.6667 0.3333 0.5000
C2 0.3333 0.6667 0.2660
Nb2 0.0000 0.0000 0.3576
Nb3 0.0000 0.0000 0.6424
Nb4 0.6667 0.3333 0.1785

Output
electronic total energy	-8.8453	eV/atom

=====

No. 2
## HfRe2Ni (PBE-GGA)

Data for a geometry-optimized HfRe2Ni structure.

a = 4.4137 Å, b = 4.4137 Å, c = 4.4137 Å
α = 60.00°, β = 60.00°, γ = 60.00°
Atoms (fractional coordinates):
Re1 0.5000 0.5000 0.5000
Hf1 0.2500 0.2500 0.2500
Re2 0.7500 0.7500 0.7500
Ni1 0.0000 0.0000 0.0000

Output
electronic total energy	-10.1863	eV/atom

=====

No. 3
## PuUTa (PBE-GGA)

Data for a geometry-optimized PuUTa structure.

a = 4.4539 Å, b = 4.4539 Å, c = 4.4539 Å
α = 60.00°, β = 60.00°, γ = 60.00°
Atoms (fractional coordinates):
Pu1 0.2500 0.2500 0.2500
U1 0.0000 0.0000 0.0000
Ta1 0.7500 0.7500 0.7500

Output
energy above the most stable polymorph in this dataset	0	meV per atom
electronic total energy	-11.5777	eV/atom

=====

No. 4
## GeBi2Mo (PBE-GGA)

Data for a geometry-optimized GeBi2Mo structure.

a = 5.0529 Å, b = 5.0529 Å, c = 5.0529 Å
α = 60.00°, β = 60.00°, γ = 60.00°
Atoms (fractional coordinates):
Bi1 0.0000 0.0000 0.0000
Ge1 0.7500 0.7500 0.7500
Bi2 0.2500 0.2500 0.2500
Mo1 0.5000 0.5000 0.5000

Output
electronic total energy	-5.0899	eV/atom

=====

No. 5
## Nd2Ho2CIBr4 (PBE-GGA)

Data for a geometry-optimized Nd2Ho2CIBr4 structure.

a = 9.1961 Å, b = 9.1961 Å, c = 8.8177 Å
α = 102.99°, β = 102.99°, γ = 24.72°
Atoms (fractional coordinates):
Br1 0.1745 0.1745 0.8580
Ho1 0.6369 0.6369 0.0698
Br2 0.1695 0.1695 0.3106
Nd1 0.0013 0.0013 0.8045
Br3 0.8305 0.8305 0.6894
Nd2 0.9987 0.9987 0.1955
C1 0.5000 0.5000 0.0000
Ho2 0.3631 0.3631 0.9302
I1 0.5000 0.5000 0.5000
Br4 0.8255 0.8255 0.1420

Output
energy above the most stable polymorph in this dataset	0	meV per atom
electronic total energy	-4.9792	eV/atom

=====

No. 6
## K2WSe3 (PBE-GGA)

Data for a geometry-optimized K2WSe3 structure.

a = 7.0325 Å, b = 7.5368 Å, c = 8.7126 Å
α = 74.21°, β = 70.06°, γ = 66.78°
Atoms (fractional coordinates):
K1 0.3952 0.8002 0.8810
Se1 0.2370 0.0501 0.5282
Se2 0.8684 0.8215 0.9110
Se3 0.6630 0.3812 0.7138
Se4 0.3370 0.6188 0.2862
Se5 0.7630 0.9499 0.4718
K2 0.1469 0.4522 0.6942
W1 0.8696 0.0530 0.6606
K3 0.6048 0.1998 0.1190
W2 0.1304 0.9470 0.3394
K4 0.8531 0.5478 0.3058
Se6 0.1316 0.1785 0.0890

Output
electronic total energy	-5.0166	eV/atom

=====

No. 7
## Tc2Au2O5 (PBE-GGA)

Data for a geometry-optimized Tc2Au2O5 structure.

a = 10.2820 Å, b = 3.3035 Å, c = 3.3035 Å
α = 90.00°, β = 90.00°, γ = 90.00°
Atoms (fractional coordinates):
Tc1 0.0000 0.0000 0.0000
Au1 0.7182 0.5000 0.5000
O1 0.1139 0.5000 0.0000
O2 0.8861 0.0000 0.5000
O3 0.8861 0.5000 0.0000
O4 0.5000 0.5000 0.5000
Au2 0.2818 0.5000 0.5000
O5 0.1139 0.0000 0.5000
Tc2 0.5000 0.0000 0.0000

Output
energy above the most stable polymorph in this dataset	321	meV per atom
electronic total energy	-5.7858	eV/atom

=====

No. 8
## SmYAg2Pb2 (PBE-GGA)

Data for a geometry-optimized SmYAg2Pb2 structure.

a = 4.8257 Å, b = 4.8257 Å, c = 7.4961 Å
α = 90.00°, β = 90.00°, γ = 120.00°
Atoms (fractional coordinates):
Ag1 0.3333 0.6667 0.6839
Ag2 0.6667 0.3333 0.1770
Y1 0.0000 0.0000 0.9918
Pb1 0.3333 0.6667 0.2689
Pb2 0.6667 0.3333 0.7736
Sm1 0.0000 0.0000 0.4907

Output
electronic total energy	-4.4788	eV/atom

=====

No. 9
## NaBeCoW (PBE-GGA)

Data for a geometry-optimized NaBeCoW structure.

a = 4.1562 Å, b = 4.1562 Å, c = 4.1562 Å
α = 60.00°, β = 60.00°, γ = 60.00°
Atoms (fractional coordinates):
Be1 0.7500 0.7500 0.7500
Na1 0.5000 0.5000 0.5000
Co1 0.0000 0.0000 0.0000
W1 0.2500 0.2500 0.2500

Output
energy above the most stable polymorph in this dataset	0	meV per atom
electronic total energy	-5.5133	eV/atom

=====

No. 10
## CdIr3C (PBE-GGA)

Data for a geometry-optimized CdIr3C structure.

a = 4.1443 Å, b = 4.1443 Å, c = 4.1443 Å
α = 90.00°, β = 90.00°, γ = 90.00°
Atoms (fractional coordinates):
Ir1 0.5000 0.5000 0.0000
Ir2 0.0000 0.5000 0.5000
C1 0.5000 0.5000 0.5000
Ir3 0.5000 0.0000 0.5000
Cd1 0.0000 0.0000 0.0000

Output
electronic total energy	-7.0219	eV/atom

=====

No. 11
## Cs2Dy3Se4 (PBE-GGA)

Data for a geometry-optimized Cs2Dy3Se4 structure.

a = 8.9734 Å, b = 8.9734 Å, c = 6.9468 Å
α = 103.89°, β = 103.89°, γ = 128.90°
Atoms (fractional coordinates):
Dy1 0.5000 0.5000 0.0000
Cs1 0.1848 0.8152 0.0000
Dy2 0.5000 0.5000 0.5000
Cs2 0.8152 0.1848 0.0000
Se1 0.4366 0.1980 0.6348
Dy3 0.0000 0.0000 0.5000
Se2 0.8020 0.5634 0.3652
Se3 0.5634 0.8020 0.3652
Se4 0.1980 0.4366 0.6348

Output
electronic total energy	-4.5638	eV/atom

=====

No. 12
## HoScS2Cl2 (PBE-GGA)

Data for a geometry-optimized HoScS2Cl2 structure.

a = 3.8278 Å, b = 5.2238 Å, c = 8.1767 Å
α = 90.00°, β = 90.00°, γ = 90.00°
Atoms (fractional coordinates):
Cl1 0.5000 0.0000 0.6426
Ho1 0.0000 0.0000 0.8638
S1 0.5000 0.0000 0.0994
Sc1 0.5000 0.5000 0.1354
Cl2 0.0000 0.5000 0.3385
S2 0.0000 0.5000 0.9203

Output
electronic total energy	-5.8909	eV/atom

=====

> The highest electronic total energy belongs to which entry?

SmYAg2Pb2

=====

> Among the records above, which one has the lowest electronic total energy?

PuUTa

=====

> Which value of electronic total energy does entry 9 give?

-5.5133 eV/atom